Record 1
The following is a PBE-GGA calculation of a geometry-optimized CeHo2O structure, from the Alexandria database.

It has space group P4/mmm (No. 123), with a = 3.131 Å, b = 3.131 Å, c = 8.682 Å, α = 90.00°, β = 90.00° and γ = 90.00°. Symmetry generates all atoms from Ce at (0.000, 0.000, 0.000), Ho at (0.500, 0.500, 0.323) and O at (0.000, 0.000, 0.500).

As for the final energy: -5.83 eV/atom. For the polymorph energy (0 for the lowest one), the calculation gives 370 meV per atom.


Record 2
The following is a PBE-GGA calculation of a geometry-optimized CeHo2O structure, from the Alexandria database.

It has space group R-3m (No. 166, hexagonal axes), with a = 3.3638 Å, b = 3.3638 Å, c = 27.9038 Å, α = 90.00°, β = 90.00° and γ = 120.00°. Symmetry generates all atoms from Ce at (0.0000, 0.0000, 0.0000), Ho at (0.0000, 0.0000, 0.1175) and O at (0.0000, 0.0000, 0.5000).

As for the final energy: -6.20 eV/atom. For the polymorph energy (0 for the lowest one), the calculation gives 0 meV per atom.


Record 3
The following is a PBE-GGA calculation of a geometry-optimized CeHo3O structure, from the Alexandria database.

It has space group Pm-3m (No. 221), with a = 4.906 Å, b = 4.906 Å, c = 4.906 Å, α = 90.00°, β = 90.00° and γ = 90.00°. Symmetry generates all atoms from Ce at (0.000, 0.000, 0.000), Ho at (0.000, 0.500, 0.500) and O at (0.500, 0.500, 0.500).

As for the final energy: -5.93 eV/atom.


Record 4
The following is a PBE-GGA calculation of a geometry-optimized Ce6HoO12 structure, from the Alexandria database.

It has space group R-3 (No. 148, hexagonal axes), with a = 10.2879 Å, b = 10.2879 Å, c = 9.5603 Å, α = 90.00°, β = 90.00° and γ = 120.00°. Symmetry generates all atoms from Ce at (0.0485, 0.2569, 0.1558), Ho at (0.0000, 0.0000, 0.5000), O at (0.0349, 0.2204, 0.8977) and O at (0.0366, 0.2122, 0.3926).

As for the final energy: -8.74 eV/atom.


Record 5
The following is a PBE-GGA calculation of a geometry-optimized Ce3HoO6 structure, from the Alexandria database.

It has space group R-3 (No. 148, hexagonal axes), with a = 9.9944 Å, b = 9.9944 Å, c = 11.6779 Å, α = 90.00°, β = 90.00° and γ = 120.00°. Symmetry generates all atoms from Ce at (0.0371, 0.2632, 0.2111), Ho at (0.0000, 0.0000, 0.0000), Ho at (0.0000, 0.0000, 0.5000), O at (0.0274, 0.1859, 0.8758) and O at (0.0312, 0.2152, 0.4050).

As for the final energy: -8.58 eV/atom.


Record 6
The following is a PBE-GGA calculation of a geometry-optimized CeHoO2 structure, from the Alexandria database.

It has space group R-3m (No. 166, hexagonal axes), with a = 3.4033 Å, b = 3.4033 Å, c = 17.5263 Å, α = 90.00°, β = 90.00° and γ = 120.00°. Symmetry generates all atoms from Ce at (0.0000, 0.0000, 0.0000), Ho at (0.0000, 0.0000, 0.5000) and O at (0.0000, 0.0000, 0.2378).

As for the final energy: -7.99 eV/atom.


Record 7
The following is a PBE-GGA calculation of a geometry-optimized CeHoO structure, from the Alexandria database.

It has space group P3m1 (No. 156), with a = 3.5293 Å, b = 3.5293 Å, c = 5.9229 Å, α = 90.00°, β = 90.00° and γ = 120.00°. Symmetry generates all atoms from Ce at (0.0000, 0.0000, 0.0000), Ho at (0.3333, 0.6667, 0.4620) and O at (0.6667, 0.3333, 0.2488).

As for the final energy: -6.88 eV/atom.


Record 8
The following is a PBE-GGA calculation of a geometry-optimized Ce3HoO structure, from the Alexandria database.

It has space group Pm-3m (No. 221), with a = 4.935 Å, b = 4.935 Å, c = 4.935 Å, α = 90.00°, β = 90.00° and γ = 90.00°. Symmetry generates all atoms from Ce at (0.000, 0.000, 0.500), Ho at (0.500, 0.500, 0.500) and O at (0.000, 0.000, 0.000).

As for the final energy: -6.54 eV/atom.


Record 9
The following is a PBE-GGA calculation of a geometry-optimized CeHoPO2 structure, from the Alexandria database.

It has space group Cmcm (No. 63), with a = 3.731 Å, b = 12.060 Å, c = 7.505 Å, α = 90.00°, β = 90.00° and γ = 90.00°. Symmetry generates all atoms from Ce at (0.000, 0.230, 0.250), Ho at (0.000, 0.500, 0.000), P at (0.000, 0.055, 0.750) and O at (0.000, 0.322, 0.575).

As for the final energy: -7.75 eV/atom.


Record 10
The following is a PBE-GGA calculation of a geometry-optimized CeHoPaO6 structure, from the Alexandria database.

It has space group P-31c (No. 163), with a = 5.7880 Å, b = 5.7880 Å, c = 9.4210 Å, α = 90.00°, β = 90.00° and γ = 120.00°. Symmetry generates all atoms from Ce at (0.3333, 0.6667, 0.2500), Ho at (0.3333, 0.6667, 0.7500), Pa at (0.0000, 0.0000, 0.0000) and O at (0.0003, 0.3214, 0.1284).

As for the final energy: -8.96 eV/atom.


Record 11
The following is a PBE-GGA calculation of a geometry-optimized CeHoPbO2 structure, from the Alexandria database.

It has space group I4mm (No. 107), with a = 3.906 Å, b = 3.906 Å, c = 13.755 Å, α = 90.00°, β = 90.00° and γ = 90.00°. Symmetry generates all atoms from Ce at (0.000, 0.000, 0.000), Ho at (0.000, 0.000, 0.668), Pb at (0.000, 0.000, 0.334) and O at (0.000, 0.500, 0.088).

As for the final energy: -7.34 eV/atom.


Record 12
The following is a PBE-GGA calculation of a geometry-optimized RbCe2Ho2O7 structure, from the Alexandria database.

It has space group I4/mmm (No. 139), with a = 4.591 Å, b = 4.591 Å, c = 19.683 Å, α = 90.00°, β = 90.00° and γ = 90.00°. Symmetry generates all atoms from Rb at (0.000, 0.000, 0.000), Ce at (0.000, 0.000, 0.389), Ho at (0.000, 0.500, 0.250), O at (0.000, 0.000, 0.262), O at (0.000, 0.000, 0.500) and O at (0.000, 0.500, 0.136).

As for the final energy: -7.85 eV/atom.


Q: Which of these has the highest final energy?
A: number 1